# MgCdTeSe

MgCdTeSe after structural relaxation (PBE, Alexandria via LeMat-Bulk).

E_form (uncorrected) = -3.192 eV/f.u.
SG = R3m, No. 160
calculated volume = 31.58 Å³/atom
theoretical density = 4.51 g cm⁻³
raw total energy = -3.082 eV/atom

a b c (Å): 7.748 7.748 7.748
angles (deg): 33.52 33.52 33.52
Positions (direct):
Mg  0.000  0.000  0.000
Cd  0.513  0.513  0.513
Te  0.129  0.129  0.129
Se  0.636  0.636  0.636

# CsDy2AuSe4

CsDy2AuSe4 after structural relaxation (PBE, Alexandria via LeMat-Bulk).

E_form (uncorrected) = -11.330 eV/f.u.
SG = Cmcm, No. 63
calculated volume = 29.00 Å³/atom
theoretical density = 6.95 g cm⁻³
raw total energy = -4.825 eV/atom

a b c (Å): 7.721 7.721 14.794
angles (deg): 90.00 90.00 148.26
Positions (direct):
Cs  0.122  0.878  0.750
Cs  0.878  0.122  0.250
Dy  0.372  0.628  0.569
Dy  0.372  0.628  0.931
Dy  0.628  0.372  0.069
Dy  0.628  0.372  0.431
Au  0.161  0.839  0.250
Au  0.839  0.161  0.750
Se  0.000  0.000  0.000
Se  0.000  0.000  0.500
Se  0.253  0.747  0.097
Se  0.253  0.747  0.403
Se  0.442  0.558  0.750
Se  0.558  0.442  0.250
Se  0.747  0.253  0.597
Se  0.747  0.253  0.903